Record 1
Crystalline KSc3Tl at its relaxed geometry. Source: Alexandria via LeMat-Bulk, functional GGA-PBE.

extended XYZ file:
```
5
Lattice="-2.1538 2.6283 4.4427 -4.8571 0.5980 -2.7084 -1.7477 -4.9009 2.0521" Properties=species:S:1:pos:R:3 pbc="T T T"
Sc -2.4285 0.2990 -1.3542
K -4.3793 -0.8373 1.8932
Sc -0.8738 -2.4504 1.0261
Tl 0.0000 0.0000 0.0000
Sc -1.0769 1.3142 2.2213
```

Results
crystal system = cubic
space-group type = Pm-3m, No. 221

***

Record 2
Crystalline KScTl2 at its relaxed geometry. Source: Alexandria via LeMat-Bulk, functional GGA-PBE.

extended XYZ file:
```
4
Lattice="0.0000 3.8644 3.8644 3.8644 0.0000 3.8644 3.8644 3.8644 0.0000" Properties=species:S:1:pos:R:3 pbc="T T T"
Tl 5.7967 5.7967 5.7967
Sc 3.8644 3.8644 3.8644
K 0.0000 0.0000 0.0000
Tl 1.9322 1.9322 1.9322
```

Results
crystal system = cubic
space-group type = Fm-3m, No. 225

***

Record 3
Crystalline KScTl at its relaxed geometry. Source: Alexandria via LeMat-Bulk, functional GGA-PBE.

extended XYZ file:
```
3
Lattice="-4.5430 1.5223 5.4143 -7.1674 -0.6110 0.7250 6.5223 -2.7591 -1.4553" Properties=species:S:1:pos:R:3 pbc="T T T"
Sc -3.2154 0.2502 1.6857
K -0.0696 0.0054 0.0365
Tl -8.4255 0.6557 4.4172
```

Results
crystal system = orthorhombic
space-group type = Imm2, No. 44

***

Number 1: E -3.944 eV/atom, ΔE to the lowest computed polymorph 0 meV/atom, DFT formation energy 2.7 eV per formula unit. Number 2: E -2.997 eV/atom, ΔE to the lowest computed polymorph 185 meV/atom, DFT formation energy 0.2 eV per formula unit. Number 3: E -3.156 eV/atom, ΔE to the lowest computed polymorph 197 meV/atom, DFT formation energy 0.3 eV per formula unit.